No. 1
The following is a DFT calculation (PBE) of an optimized crystal structure of TbPm2Sn3Rh4.

Cell and atoms, written as POSCAR:
```
TbPm2Sn3Rh4
1.0
4.404 0.000 0.000
0.000 4.404 0.000
0.000 0.000 11.486
Sn Rh Pm Tb
3 4 2 1
direct
0.500 0.000 0.874
0.000 0.000 0.500
0.000 0.500 0.126
0.000 0.500 0.352
0.000 0.000 0.000
0.500 0.500 0.000
0.500 0.000 0.648
0.500 0.000 0.230
0.000 0.500 0.770
0.500 0.500 0.500
```

Computed properties:
**D(E_F)**: 0.773 states/eV per atom
**Energy of formation**: -7.391 eV per formula unit



No. 2
The following is a DFT calculation (PBE) of an optimized crystal structure of TaFeOs2.

Cell and atoms, written as POSCAR:
```
TaFeOs2
1.0
-0.555 4.680 0.663
-4.608 1.031 0.596
2.851 -3.204 2.062
Os Fe Ta
2 1 1
direct
0.000 0.000 0.000
0.250 0.750 0.500
0.750 0.250 0.500
0.500 0.500 0.000
```

Computed properties:
**D(E_F)**: 1.047 states/eV per atom
**Energy of formation**: -0.206 eV per formula unit